[1]
Material: LaGaAs2Br
Method: DFT, PBE-GGA
State: optimized geometry

Its uncorrected formation energy is -0.038 eV/atom. As for the symmetry: P4/mmm (123). The relative energy among the computed polymorphs is 0.414 eV per atom.

a b c (Å): 5.7609 5.7609 5.8674
angles (deg): 90.00 90.00 90.00
Last column: nearest neighbours and their distance in Å.
Fractional coordinates of all 5 atoms:
La (0.0000, 0.0000, 0.0000)  4 As 2.88, 2 Br 2.93
Br (0.0000, 0.0000, 0.5000)  2 La 2.93
As (0.0000, 0.5000, 0.0000)  2 La 2.88
As (0.5000, 0.0000, 0.0000)  2 La 2.88
Ga (0.5000, 0.5000, 0.5000)  4 Br 4.07, 8 As 4.11

[2]
Material: BeCuAs
Method: DFT, PBE-GGA
State: optimized geometry

The value obtained for the formation energy from the elements is 98.0 meV per atom. As for the symmetry: Pnma (62).

a b c (Å): 6.1179 3.7677 7.1753
angles (deg): 90.00 90.00 90.00
Last column: nearest neighbours and their distance in Å.
Fractional coordinates of all 12 atoms:
Cu (0.0359, 0.7500, 0.1146)  1 As 2.45, 2 Cu 2.54, 3 Be 2.56-2.67
Cu (0.5359, 0.7500, 0.3854)  1 As 2.45, 2 Cu 2.54, 3 Be 2.56-2.67
Cu (0.4641, 0.2500, 0.6146)  1 As 2.45, 2 Cu 2.54, 3 Be 2.56-2.67
Cu (0.9641, 0.2500, 0.8854)  1 As 2.45, 2 Cu 2.54, 3 Be 2.56-2.67
Be (0.6648, 0.7500, 0.9497)  4 As 2.34-2.36, 1 Cu 2.56
Be (0.8352, 0.2500, 0.4497)  4 As 2.34-2.36, 1 Cu 2.56
Be (0.3352, 0.2500, 0.0503)  4 As 2.34-2.36, 1 Cu 2.56
Be (0.1648, 0.7500, 0.5503)  4 As 2.34-2.36, 1 Cu 2.56
As (0.2979, 0.7500, 0.8556)  4 Be 2.34-2.36, 1 Cu 2.45
As (0.7021, 0.2500, 0.1444)  4 Be 2.34-2.36, 1 Cu 2.45
As (0.7979, 0.7500, 0.6444)  4 Be 2.34-2.36, 1 Cu 2.45
As (0.2021, 0.2500, 0.3556)  4 Be 2.34-2.36, 1 Cu 2.45

[3]
Material: SiSnPbS2
Method: DFT, PBE-GGA
State: optimized geometry

Its uncorrected formation energy is 0.164 eV/atom. As for the symmetry: P4/mmm (123).

a b c (Å): 4.7279 5.1794 4.7279
angles (deg): 90.00 90.00 90.00
Last column: nearest neighbours and their distance in Å.
Fractional coordinates of all 5 atoms:
Si (0.0000, 0.0000, 0.0000)  4 S 2.36, 2 Sn 2.59
Sn (0.0000, 0.5000, 0.0000)  2 Si 2.59
S (0.5000, 0.0000, 0.0000)  2 Si 2.36
S (0.0000, 0.0000, 0.5000)  2 Si 2.36
Pb (0.5000, 0.5000, 0.5000)  4 Sn 3.34, 8 S 3.51

[4]
Material: Ti2Ni5Rh
Method: DFT, PBE-GGA
State: optimized geometry

The value obtained for the formation energy from the elements is -513.9 meV per atom. As for the symmetry: Pbam (55). The relative energy among the computed polymorphs is 0.000 eV per atom.

a b c (Å): 3.6365 5.1905 10.3635
angles (deg): 90.00 90.00 90.00
Last column: nearest neighbours and their distance in Å.
Fractional coordinates of all 16 atoms:
Ni (0.5000, 0.7601, 0.1293)  4 Ti 2.54-2.65, 6 Ni 2.54-2.58, 2 Rh 2.63
Ni (0.0000, 0.4914, 0.7471)  7 Ni 2.54-2.60, 4 Ti 2.54-2.61, 1 Rh 2.62
Ni (0.0000, 0.0000, 0.0000)  6 Ni 2.56-2.58, 4 Ti 2.59, 2 Rh 2.60
Ni (0.0000, 0.5086, 0.2529)  7 Ni 2.54-2.60, 4 Ti 2.54-2.61, 1 Rh 2.62
Ni (0.0000, 0.5000, 0.5000)  6 Ni 2.56-2.58, 4 Ti 2.59, 2 Rh 2.60
Ni (0.5000, 0.7399, 0.6293)  4 Ti 2.54-2.65, 6 Ni 2.54-2.58, 2 Rh 2.63
Ni (0.5000, 0.2601, 0.3707)  4 Ti 2.54-2.65, 6 Ni 2.54-2.58, 2 Rh 2.63
Ni (0.0000, 0.9914, 0.7529)  7 Ni 2.54-2.60, 4 Ti 2.54-2.61, 1 Rh 2.62
Ni (0.0000, 0.0086, 0.2471)  7 Ni 2.54-2.60, 4 Ti 2.54-2.61, 1 Rh 2.62
Ni (0.5000, 0.2399, 0.8707)  4 Ti 2.54-2.65, 6 Ni 2.54-2.58, 2 Rh 2.63
Ti (0.5000, 0.2487, 0.6260)  10 Ni 2.54-2.65, 2 Rh 2.58
Ti (0.5000, 0.2513, 0.1260)  10 Ni 2.54-2.65, 2 Rh 2.58
Ti (0.5000, 0.7513, 0.3740)  10 Ni 2.54-2.65, 2 Rh 2.58
Ti (0.5000, 0.7487, 0.8740)  10 Ni 2.54-2.65, 2 Rh 2.58
Rh (0.0000, 0.5000, 0.0000)  4 Ti 2.58, 8 Ni 2.60-2.63
Rh (0.0000, 0.0000, 0.5000)  4 Ti 2.58, 8 Ni 2.60-2.63

[5]
Material: Sm3Dy3Sc
Method: DFT, PBE-GGA
State: optimized geometry

The value obtained for the formation energy from the elements is 269.0 meV per atom. As for the symmetry: R-3 (148). The relative energy among the computed polymorphs is 0.239 eV per atom.

a b c (Å): 8.7273 8.7273 8.7273
angles (deg): 58.89 58.89 58.89
Last column: nearest neighbours and their distance in Å.
Fractional coordinates of all 14 atoms:
Sm (0.2933, 0.8101, 0.0686)  4 Dy 3.23-3.56, 4 Sm 3.23-3.59, 1 Sc 3.41
Sm (0.0686, 0.2933, 0.8101)  4 Dy 3.23-3.56, 4 Sm 3.23-3.59, 1 Sc 3.41
Sm (0.9314, 0.7067, 0.1899)  4 Dy 3.23-3.56, 4 Sm 3.23-3.59, 1 Sc 3.41
Sm (0.1899, 0.9314, 0.7067)  4 Dy 3.23-3.56, 4 Sm 3.23-3.59, 1 Sc 3.41
Sm (0.7067, 0.1899, 0.9314)  4 Dy 3.23-3.56, 4 Sm 3.23-3.59, 1 Sc 3.41
Sm (0.8101, 0.0686, 0.2933)  4 Dy 3.23-3.56, 4 Sm 3.23-3.59, 1 Sc 3.41
Sc (0.3446, 0.3446, 0.3446)  6 Sm 3.41-3.70, 6 Dy 3.53-3.76
Sc (0.6554, 0.6554, 0.6554)  6 Sm 3.41-3.70, 6 Dy 3.53-3.76
Dy (0.4339, 0.9389, 0.2734)  4 Sm 3.23-3.56, 1 Sc 3.53
Dy (0.9389, 0.2734, 0.4339)  4 Sm 3.23-3.56, 1 Sc 3.53
Dy (0.5661, 0.0611, 0.7266)  4 Sm 3.23-3.56, 1 Sc 3.53
Dy (0.2734, 0.4339, 0.9389)  4 Sm 3.23-3.56, 1 Sc 3.53
Dy (0.0611, 0.7266, 0.5661)  4 Sm 3.23-3.56, 1 Sc 3.53
Dy (0.7266, 0.5661, 0.0611)  4 Sm 3.23-3.56, 1 Sc 3.53

[6]
Material: Zn2IBr3
Method: DFT, PBE-GGA
State: optimized geometry

Its uncorrected formation energy is -0.706 eV/atom. As for the symmetry: C2/m (12).

a b c (Å): 3.9093 8.2336 12.3738
angles (deg): 98.01 80.91 76.27
Last column: nearest neighbours and their distance in Å.
Fractional coordinates of all 12 atoms:
Zn (0.8720, 0.3827, 0.8732)  4 Br 2.65-2.67, 2 I 2.83
Zn (0.1280, 0.6173, 0.1268)  4 Br 2.65-2.67, 2 I 2.83
Zn (0.3755, 0.8709, 0.3781)  5 Br 2.60-2.70, 1 I 2.80
Zn (0.6245, 0.1291, 0.6219)  5 Br 2.60-2.70, 1 I 2.80
Br (0.6552, 0.6939, 0.9956)  3 Zn 2.66-2.67
Br (0.1668, 0.1862, 0.4803)  3 Zn 2.60-2.70
Br (0.0865, 0.0673, 0.7597)  3 Zn 2.65-2.68
Br (0.8332, 0.8138, 0.5197)  3 Zn 2.60-2.70
Br (0.3448, 0.3061, 0.0044)  3 Zn 2.66-2.67
Br (0.9135, 0.9327, 0.2403)  3 Zn 2.65-2.68
I (0.5987, 0.5288, 0.2738)  3 Zn 2.80-2.83
I (0.4013, 0.4712, 0.7262)  3 Zn 2.80-2.83

[7]
Material: Tm4CdTe3
Method: DFT, PBE-GGA
State: optimized geometry

Its uncorrected formation energy is -0.935 eV/atom. As for the symmetry: Cmmm (65).

a b c (Å): 4.1527 7.5731 7.5731
angles (deg): 107.69 90.00 90.00
Last column: nearest neighbours and their distance in Å.
Fractional coordinates of all 8 atoms:
Te (0.5000, 0.5000, 0.5000)  6 Tm 3.12-3.17
Te (0.0000, 0.0000, 0.5000)  6 Tm 3.05-3.06
Te (0.0000, 0.5000, 0.0000)  6 Tm 3.05-3.06
Tm (0.0000, 0.7609, 0.7609)  2 Cd 2.98, 4 Te 3.06-3.12
Tm (0.5000, 0.7588, 0.2412)  1 Cd 2.95, 5 Te 3.05-3.17
Tm (0.5000, 0.2412, 0.7588)  1 Cd 2.95, 5 Te 3.05-3.17
Tm (0.0000, 0.2391, 0.2391)  2 Cd 2.98, 4 Te 3.06-3.12
Cd (0.5000, 0.0000, 0.0000)  6 Tm 2.95-2.98

[8]
Material: AlPb4
Method: DFT, PBE-GGA
State: optimized geometry

The value obtained for the formation energy from the elements is 346.3 meV per atom. As for the symmetry: I4/mmm (139).

a b c (Å): 8.7364 8.7364 8.7364
angles (deg): 150.21 150.21 42.64
Last column: nearest neighbours and their distance in Å.
Fractional coordinates of all 5 atoms:
Pb (0.5954, 0.5954, 0.0000)  5 Pb 3.11-3.37
Pb (0.4046, 0.4046, 0.0000)  5 Pb 3.11-3.37
Pb (0.7500, 0.2500, 0.5000)  8 Pb 3.18-3.37
Pb (0.2500, 0.7500, 0.5000)  8 Pb 3.18-3.37
Al (0.0000, 0.0000, 0.0000)  8 Pb 3.54

[9]
Material: BAu
Method: DFT, PBE-GGA
State: optimized geometry

The value obtained for the formation energy from the elements is 833.5 meV per atom. As for the symmetry: P6_3mc (186).

a b c (Å): 3.4731 3.4731 5.9937
angles (deg): 90.00 90.00 120.00
Last column: nearest neighbours and their distance in Å.
Fractional coordinates of all 4 atoms:
Au (0.6667, 0.3333, 0.5043)  4 B 2.16-2.20
Au (0.3333, 0.6667, 0.0043)  4 B 2.16-2.20
B (0.3333, 0.6667, 0.3707)  4 Au 2.16-2.20
B (0.6667, 0.3333, 0.8707)  4 Au 2.16-2.20

[10]
Material: CaSN2O
Method: DFT, PBE-GGA
State: optimized geometry

Its uncorrected formation energy is 1.139 eV/atom. As for the symmetry: P4/mmm (123).

a b c (Å): 4.0303 4.0303 3.8426
angles (deg): 90.00 90.00 90.00
Last column: nearest neighbours and their distance in Å.
Fractional coordinates of all 5 atoms:
O (0.0000, 0.0000, 0.0000)  2 S 1.92, 4 N 2.02
N (0.5000, 0.0000, 0.0000)  2 O 2.02
N (0.0000, 0.5000, 0.0000)  2 O 2.02
Ca (0.5000, 0.5000, 0.5000)  8 N 2.78, 4 S 2.85
S (0.0000, 0.0000, 0.5000)  2 O 1.92

[11]
Material: NaLiPBr2
Method: DFT, PBE-GGA
State: optimized geometry

Its uncorrected formation energy is -0.352 eV/atom. As for the symmetry: P4/mmm (123).

a b c (Å): 5.2852 5.0080 5.2852
angles (deg): 90.00 90.00 90.00
Last column: nearest neighbours and their distance in Å.
Fractional coordinates of all 5 atoms:
Na (0.5000, 0.5000, 0.5000)  8 Br 3.64, 4 P 3.74
Br (0.5000, 0.0000, 0.0000)  2 Li 2.64
Br (0.0000, 0.0000, 0.5000)  2 Li 2.64
Li (0.0000, 0.0000, 0.0000)  2 P 2.50, 4 Br 2.64
P (0.0000, 0.5000, 0.0000)  2 Li 2.50

[12]
Material: CsBaGe2
Method: DFT, PBE-GGA
State: optimized geometry

The value obtained for the formation energy from the elements is 199.7 meV per atom. As for the symmetry: I4_1/amd (141). The relative energy among the computed polymorphs is 0.053 eV per atom.

a b c (Å): 5.4792 5.4792 12.3594
angles (deg): 77.19 77.19 90.00
Last column: nearest neighbours and their distance in Å.
Fractional coordinates of all 8 atoms:
Ba (0.0000, 0.0000, 0.0000)  4 Ge 3.24
Ba (0.7500, 0.2500, 0.5000)  4 Ge 3.24
Cs (0.5000, 0.5000, 0.0000)  4 Ba 3.87, 8 Ge 4.24
Cs (0.2500, 0.7500, 0.5000)  4 Ba 3.87, 8 Ge 4.24
Ge (0.8745, 0.6250, 0.2500)  2 Ge 2.74
Ge (0.8750, 0.1255, 0.7500)  2 Ge 2.74
Ge (0.3750, 0.1245, 0.7500)  2 Ge 2.74
Ge (0.8755, 0.1250, 0.2500)  2 Ge 2.74

Calculated volume for every record listed, in sequence, given in Å³ per cell: 194.7; 165.4; 115.8; 195.6; 458.1; 375.5; 226.9; 164.2; 62.6; 62.4; 139.9; 352.3.